a | ! CdSbTe2C, relaxed, DFT PBE; values from VASP
! Magnetization: 1.47 μB per formula unit
&SYSTEM
  ibrav = 0, nat = 5, ntyp = 4
/
ATOMIC_SPECIES
Sb 121.76 Sb.upf
C 12.01 C.upf
Te 127.60 Te.upf
Cd 112.41 Cd.upf
ATOMIC_POSITIONS crystal
Sb 0.000 0.000 0.500
C 0.500 0.500 0.500
Te 0.000 0.500 0.000
Te 0.500 0.000 0.000
Cd 0.000 0.000 0.000
CELL_PARAMETERS angstrom
-5.278 0.332 1.938
-1.244 -4.862 -2.557
1.487 -2.758 4.520

=====

b | ! CdSbTe2C, relaxed, DFT PBE; values from VASP
! Magnetization: 0.00 μB per formula unit
&SYSTEM
  ibrav = 0, nat = 5, ntyp = 4
/
ATOMIC_SPECIES
Sb 121.76 Sb.upf
C 12.01 C.upf
Te 127.60 Te.upf
Cd 112.41 Cd.upf
ATOMIC_POSITIONS crystal
Sb 0.000 0.000 0.500
C 0.000 0.000 0.000
Te 0.000 0.500 0.000
Te 0.500 0.000 0.000
Cd 0.500 0.500 0.500
CELL_PARAMETERS angstrom
-0.294 1.830 -4.581
3.091 -3.508 -1.600
-3.685 -2.838 -0.897

=====

Unit: kJ/mol of atoms. Relative energies: a 100.6; b 0.0.